No. 1
The following is a PBE-GGA calculation of an optimized crystal structure of TcPC, from Alexandria via LeMat-Bulk.

The energy above the most stable polymorph in this dataset is 248 meV/atom. The calculation puts the magnetization at 0.00 μB per atom. The energy relative to the elements is 289.5 meV/atom.

It has space group Cm (No. 8), with a = 6.385 Å, b = 2.923 Å, c = 4.844 Å, α = 90.00°, β = 121.87° and γ = 90.00°. The asymmetric unit holds Tc at (0.000, 0.000, 0.000), P at (0.140, 0.500, 0.461) and C at (0.112, 0.500, 0.801).



No. 2
The following is a PBE-GGA calculation of an optimized crystal structure of TcPC2, from Alexandria via LeMat-Bulk.

The calculation puts the magnetization at 0.00 μB per atom. The energy relative to the elements is 683.9 meV/atom.

It has space group Cm (No. 8), with a = 5.608 Å, b = 3.233 Å, c = 5.746 Å, α = 90.00°, β = 109.06° and γ = 90.00°. The asymmetric unit holds Tc at (0.000, 0.000, 0.000), P at (0.151, 0.000, 0.452), C at (0.340, 0.000, 0.020) and C at (0.362, 0.500, 0.586).